No. 1
MnAlNi2: relaxed, PBE-GGA.

a b c (Å): 4.609 4.609 4.165
angles (deg): 107.17 107.17 35.55
Fractional positions:
Mn 0.000 0.000 0.000
Al 0.241 0.241 0.659
Ni 0.500 0.500 0.500
Ni 0.746 0.746 0.163

Space group: Cm, No. 8
DOS at the Fermi energy (states/eV/cell): 2.15
Total magnetization (μB per formula unit): 3.98
Final energy (eV per atom): -6.420
ΔH_f (0 K) (eV/atom): -0.301

***

No. 2
MnHgAu2: relaxed, PBE-GGA.

a b c (Å): 5.032 5.032 4.837
angles (deg): 103.87 103.87 38.70
Fractional positions:
Mn 0.000 0.000 0.000
Hg 0.253 0.253 0.732
Au 0.494 0.494 0.480
Au 0.735 0.735 0.212

Space group: Cm, No. 8
DOS at the Fermi energy (states/eV/cell): 1.91
Total magnetization (μB per formula unit): 4.15
Final energy (eV per atom): -3.925
ΔH_f (0 K) (eV/atom): 0.081

***

No. 3
SbTePt2: relaxed, PBE-GGA.

a b c (Å): 3.582 3.582 7.284
angles (deg): 90.00 90.00 90.00
Fractional positions:
Sb 0.000 0.000 0.000
Te 0.500 0.500 0.463
Pt 0.000 0.000 0.618
Pt 0.500 0.500 0.834

Space group: P4mm, No. 99
DOS at the Fermi energy (states/eV/cell): 2.21
Total magnetization (μB per formula unit): 0.00
ΔE_f (raw) (kcal/mol of atoms): -4.27
Final energy (eV per atom): -5.022

***

No. 4
Er4Tm3Te8: relaxed, PBE-GGA.

a b c (Å): 8.588 8.588 8.587
angles (deg): 119.99 119.99 90.01
Fractional positions:
Er 0.000 0.000 0.000
Er 0.000 0.000 0.500
Er 0.000 0.500 0.000
Er 0.500 0.000 0.000
Tm 0.000 0.500 0.500
Tm 0.500 0.000 0.500
Tm 0.500 0.500 0.000
Te 0.251 0.749 0.000
Te 0.256 0.256 0.012
Te 0.256 0.256 0.501
Te 0.256 0.744 0.500
Te 0.744 0.256 0.500
Te 0.744 0.744 0.499
Te 0.744 0.744 0.988
Te 0.749 0.251 0.000

Space group: C2/m, No. 12
DOS at the Fermi energy (states/eV/cell): 6.54
Total magnetization (μB per formula unit): 0.00
ΔE_f (raw) (kcal/mol of atoms): -29.85
Final energy (eV per atom): -5.081

***

No. 5
MnSiOs: relaxed, PBE-GGA.

a b c (Å): 6.344 6.091 2.741
angles (deg): 82.49 72.15 25.36
Fractional positions:
Mn 0.000 0.000 0.000
Si 0.344 0.344 0.656
Os 0.683 0.683 0.317

Space group: Fmm2, No. 42
DOS at the Fermi energy (states/eV/cell): 2.23
Total magnetization (μB per formula unit): 2.64
ΔE_f (raw) (kcal/mol of atoms): 2.96
Final energy (eV per atom): -8.479

***

No. 6
CuRe2Ir: relaxed, PBE-GGA.

a b c (Å): 2.699 2.699 7.773
angles (deg): 90.00 90.00 90.00
Fractional positions:
Cu 0.000 0.000 0.000
Re 0.500 0.500 0.245
Re 0.500 0.500 0.755
Ir 0.000 0.000 0.500

Energy above the lowest structure with this stoichiometry (kcal/mol of atoms): 1.197
Space group: P4/mmm, No. 123
DOS at the Fermi energy (states/eV/cell): 3.03
Total magnetization (μB per formula unit): 0.00
Final energy (eV per atom): -9.318
ΔH_f (0 K) (eV/atom): 0.145

***

No. 7
MnMo3: relaxed, PBE-GGA.

a b c (Å): 3.933 3.933 3.933
angles (deg): 90.00 90.00 90.00
Fractional positions:
Mn 0.000 0.000 0.000
Mo 0.000 0.500 0.500
Mo 0.500 0.000 0.500
Mo 0.500 0.500 0.000

Space group: Pm-3m, No. 221
DOS at the Fermi energy (states/eV/cell): 7.43
Total magnetization (μB per formula unit): 2.46
Final energy (eV per atom): -10.096
ΔH_f (0 K) (eV/atom): 0.320

***

No. 8
TlIn4Cu: relaxed, PBE-GGA.

a b c (Å): 9.167 9.167 5.394
angles (deg): 107.09 107.09 46.45
Fractional positions:
Tl 0.204 0.204 0.200
Tl 0.796 0.796 0.800
In 0.126 0.645 0.386
In 0.193 0.807 0.000
In 0.335 0.335 0.838
In 0.355 0.874 0.614
In 0.645 0.126 0.386
In 0.665 0.665 0.162
In 0.807 0.193 0.000
In 0.874 0.355 0.614
Cu 0.498 0.498 0.730
Cu 0.502 0.502 0.270

Energy above the lowest structure with this stoichiometry (kcal/mol of atoms): 0.000
Space group: C2/m, No. 12
DOS at the Fermi energy (states/eV/cell): 4.29
Total magnetization (μB per formula unit): 0.00
Final energy (eV per atom): -2.846
ΔH_f (0 K) (eV/atom): 0.056

***

No. 9
Pm2Y3Ag3: relaxed, PBE-GGA.

a b c (Å): 11.350 11.350 11.350
angles (deg): 161.08 153.08 33.10
Fractional positions:
Pm 0.231 0.231 0.000
Pm 0.769 0.769 0.000
Y 0.000 0.000 0.000
Y 0.382 0.882 0.500
Y 0.618 0.118 0.500
Ag 0.114 0.614 0.500
Ag 0.500 0.500 0.000
Ag 0.886 0.386 0.500

Space group: Immm, No. 71
DOS at the Fermi energy (states/eV/cell): 7.45
Total magnetization (μB per formula unit): 0.00
Final energy (eV per atom): -4.890
ΔH_f (0 K) (eV/atom): -0.209

***

No. 10
DyTmAsP: relaxed, PBE-GGA.

a b c (Å): 4.037 4.037 5.703
angles (deg): 90.00 90.00 90.00
Fractional positions:
Dy 0.000 0.000 0.000
Tm 0.500 0.500 0.500
As 0.500 0.500 0.000
P 0.000 0.000 0.500

Space group: P4/mmm, No. 123
DOS at the Fermi energy (states/eV/cell): 0.38
Total magnetization (μB per formula unit): 0.00
Final energy (eV per atom): -6.335
ΔH_f (0 K) (eV/atom): -1.552

***

No. 11
SmDyGaSn: relaxed, PBE-GGA.

a b c (Å): 4.193 6.071 6.071
angles (deg): 43.61 90.00 90.00
Fractional positions:
Sm 0.000 0.000 0.000
Dy 0.500 0.279 0.279
Ga 0.500 0.551 0.551
Sn 0.000 0.716 0.716

Energy above the lowest structure with this stoichiometry (kcal/mol of atoms): 0.000
Space group: Amm2, No. 38
DOS at the Fermi energy (states/eV/cell): 3.70
Total magnetization (μB per formula unit): 0.00
Final energy (eV per atom): -4.793
ΔH_f (0 K) (eV/atom): -0.706

***

No. 12
PuTlCuO6: relaxed, PBE-GGA.

a b c (Å): 5.299 5.299 9.879
angles (deg): 90.00 90.00 120.00
Fractional positions:
Pu 0.333 0.667 0.250
Pu 0.667 0.333 0.750
Tl 0.000 0.000 0.000
Tl 0.000 0.000 0.500
Cu 0.333 0.667 0.750
Cu 0.667 0.333 0.250
O 0.006 0.356 0.137
O 0.006 0.650 0.363
O 0.350 0.356 0.363
O 0.350 0.994 0.137
O 0.356 0.006 0.637
O 0.356 0.350 0.863
O 0.644 0.650 0.137
O 0.644 0.994 0.363
O 0.650 0.006 0.863
O 0.650 0.644 0.637
O 0.994 0.350 0.637
O 0.994 0.644 0.863

Space group: P-31c, No. 163
DOS at the Fermi energy (states/eV/cell): 10.86
Total magnetization (μB per formula unit): 2.07
ΔE_f (raw) (kcal/mol of atoms): -30.95
Final energy (eV per atom): -6.958